(1)
# VCu2Tc

VCu2Tc after structural relaxation (PBE, the Alexandria database).

POSCAR file:
```
VCu2Tc
1.0
3.448 0.000 0.000
0.000 3.448 0.000
0.000 0.000 18.775
V Cu Tc
4 8 4
direct
0.000 0.000 0.000
0.000 0.500 0.250
0.500 0.000 0.750
0.500 0.500 0.500
0.249 0.250 0.625
0.250 0.749 0.875
0.250 0.751 0.375
0.251 0.250 0.125
0.749 0.750 0.125
0.750 0.249 0.375
0.750 0.251 0.875
0.751 0.750 0.625
0.000 0.000 0.500
0.000 0.500 0.750
0.500 0.000 0.250
0.500 0.500 0.000
```

Values from the calculation:
energy	-6.481	eV/atom
relative energy among the computed polymorphs	0.096	eV per atom
SG	No. 122
formation energy	438	meV per atom


(2)
# CaPrDy2Sb4

CaPrDy2Sb4 after structural relaxation (PBE, the Alexandria database).

POSCAR file:
```
CaPrDy2Sb4
1.0
6.313 0.000 0.000
0.000 6.313 0.000
0.000 0.000 12.617
Ca Pr Dy Sb
2 2 4 8
direct
0.000 0.000 0.000
0.500 0.500 0.500
0.000 0.000 0.500
0.500 0.500 0.000
0.000 0.500 0.250
0.000 0.500 0.750
0.500 0.000 0.250
0.500 0.000 0.750
0.000 0.000 0.250
0.000 0.000 0.750
0.000 0.500 0.000
0.000 0.500 0.500
0.500 0.000 0.000
0.500 0.000 0.500
0.500 0.500 0.250
0.500 0.500 0.750
```

Values from the calculation:
energy	-5.088	eV/atom
ΔE_f (raw)	-1028.4	meV per atom
SG	No. 139


(3)
# BeTlIr2

BeTlIr2 after structural relaxation (PBE, the Alexandria database).

POSCAR file:
```
BeTlIr2
1.0
2.962 0.000 0.000
0.000 3.835 0.000
-1.373 0.000 5.369
Be Tl Ir
1 1 2
direct
0.000 0.000 0.000
0.000 0.000 0.500
0.351 0.500 0.209
0.649 0.500 0.791
```

Values from the calculation:
energy	-5.778	eV/atom
relative energy among the computed polymorphs	0.040	eV per atom
SG	No. 10
formation energy	176	meV per atom


Copy entry 1 word for word.
# VCu2Tc

VCu2Tc after structural relaxation (PBE, the Alexandria database).

POSCAR file:
```
VCu2Tc
1.0
3.448 0.000 0.000
0.000 3.448 0.000
0.000 0.000 18.775
V Cu Tc
4 8 4
direct
0.000 0.000 0.000
0.000 0.500 0.250
0.500 0.000 0.750
0.500 0.500 0.500
0.249 0.250 0.625
0.250 0.749 0.875
0.250 0.751 0.375
0.251 0.250 0.125
0.749 0.750 0.125
0.750 0.249 0.375
0.750 0.251 0.875
0.751 0.750 0.625
0.000 0.000 0.500
0.000 0.500 0.750
0.500 0.000 0.250
0.500 0.500 0.000
```

Values from the calculation:
energy	-6.481	eV/atom
relative energy among the computed polymorphs	0.096	eV per atom
SG	No. 122
formation energy	438	meV per atom


Q: The lowest energy belongs to which entry?
A: VCu2Tc